1.
The following is a GGA-PBEsol calculation of a relaxed MgSe crystal, from Alexandria via LeMat-Bulk.

Uncorrected formation energy   -1262 meV per atom
Spin magnetization   0.00 μB/f.u.

Unit cell a=5.4536 b=5.4536 c=5.4536 alpha=90.00 beta=90.00 gamma=90.00
Last column: nearest neighbours and their distance in Å.
Space group Fm-3m (No. 225)
Symmetry-distinct sites (fractional):
Mg 0.0000 0.0000 0.0000 x4  6 Se 2.73
Se 0.0000 0.0000 0.5000 x4  6 Mg 2.73


2.
The following is a GGA-PBEsol calculation of a relaxed Li4Mn3O6F crystal, from Alexandria via LeMat-Bulk.

Uncorrected formation energy   -1945 meV per atom
Spin magnetization   11.91 μB/f.u.

Unit cell a=9.1328 b=4.2386 c=6.3675 alpha=90.00 beta=97.56 gamma=90.00
Last column: nearest neighbours and their distance in Å.
Space group C2/m (No. 12)
Symmetry-distinct sites (fractional):
Li 0.0764 0.0000 0.2104 x4  5 O 1.98-2.20, 1 F 2.06
Li 0.2213 0.0000 0.6402 x4  5 O 2.05-2.13, 1 F 2.10
Mn 0.0000 0.5000 0.5000 x2  4 O 1.94-2.05, 2 F 2.12
Mn 0.1449 0.5000 0.9275 x4  6 O 1.91-2.12
O 0.0616 0.5000 0.2017 x4  3 Mn 1.96-2.05, 3 Li 2.10-2.12
O 0.1558 0.0000 0.9364 x4  3 Mn 1.91-2.12, 2 Li 1.98-2.05
O 0.1997 0.5000 0.6461 x4  2 Mn 1.92-1.94, 4 Li 2.05-2.13
F 0.0000 0.0000 0.5000 x2  4 Li 2.06-2.10, 2 Mn 2.12


3.
The following is a GGA-PBEsol calculation of a relaxed SrY2Pb crystal, from Alexandria via LeMat-Bulk.

E   -5.0203 eV per atom
Spin magnetization   0.00 μB/f.u.

Unit cell a=3.6265 b=3.6265 c=10.0794 alpha=90.00 beta=90.00 gamma=90.00
Last column: nearest neighbours and their distance in Å.
Space group P4/mmm (No. 123)
Symmetry-distinct sites (fractional):
Sr 0.0000 0.0000 0.0000 x1  4 Sr 3.63, 8 Y 3.97
Y 0.5000 0.5000 0.3006 x2  4 Pb 3.26, 4 Y 3.63
Pb 0.0000 0.0000 0.5000 x1  8 Y 3.26, 4 Pb 3.63


4.
The following is a GGA-PBEsol calculation of a relaxed BeOsN2O crystal, from Alexandria via LeMat-Bulk.

Uncorrected formation energy   897 meV per atom
Spin magnetization   0.00 μB/f.u.

Unit cell a=3.4357 b=3.4357 c=3.3551 alpha=90.00 beta=90.00 gamma=90.00
Last column: nearest neighbours and their distance in Å.
Space group P4/mmm (No. 123)
Symmetry-distinct sites (fractional):
Be 0.0000 0.0000 0.0000 x1  2 O 1.68, 4 N 1.72
Os 0.5000 0.5000 0.5000 x1  8 N 2.40, 4 O 2.43
N 0.0000 0.5000 0.0000 x2  2 Be 1.72
O 0.0000 0.0000 0.5000 x1  2 Be 1.68


5.
The following is a GGA-PBEsol calculation of a relaxed Mn2CuIr crystal, from Alexandria via LeMat-Bulk.

E   -8.3220 eV per atom
Spin magnetization   0.78 μB/f.u.

Unit cell a=4.4020 b=2.6526 c=4.4473 alpha=90.00 beta=108.14 gamma=90.00
Last column: nearest neighbours and their distance in Å.
Space group P2/m (No. 10)
Symmetry-distinct sites (fractional):
Mn 0.0000 0.0000 0.0000 x1  6 Mn 2.57-2.65, 4 Cu 2.59, 2 Ir 2.60
Mn 0.5000 0.5000 0.0000 x1  6 Mn 2.57-2.65, 4 Ir 2.59, 2 Cu 2.60
Cu 0.0000 0.5000 0.5000 x1  4 Ir 2.57, 6 Mn 2.59-2.60, 2 Cu 2.65
Ir 0.5000 0.0000 0.5000 x1  4 Cu 2.57, 6 Mn 2.59-2.60, 2 Ir 2.65


6.
The following is a GGA-PBEsol calculation of a relaxed InHgRu2 crystal, from Alexandria via LeMat-Bulk.

Polymorph energy (0 for the lowest one)   0.055 kcal/mol of atoms
Spin magnetization   1.29 μB/f.u.

Unit cell a=6.3927 b=6.3927 c=6.3927 alpha=90.00 beta=90.00 gamma=90.00
Last column: nearest neighbours and their distance in Å.
Space group Fm-3m (No. 225)
Symmetry-distinct sites (fractional):
In 0.0000 0.0000 0.0000 x4  8 Ru 2.77
Hg 0.0000 0.0000 0.5000 x4  8 Ru 2.77
Ru 0.2500 0.2500 0.2500 x8  4 Hg 2.77, 4 In 2.77


7.
The following is a GGA-PBEsol calculation of a relaxed Re2SbPW crystal, from Alexandria via LeMat-Bulk.

Uncorrected formation energy   1603 meV per atom
Spin magnetization   0.93 μB/f.u.

Unit cell a=4.3245 b=4.3245 c=4.8765 alpha=90.00 beta=90.00 gamma=90.00
Last column: nearest neighbours and their distance in Å.
Space group P4/mmm (No. 123)
Symmetry-distinct sites (fractional):
Re 0.0000 0.5000 0.0000 x2  2 P 2.16
Sb 0.0000 0.0000 0.5000 x1  2 P 2.44
P 0.0000 0.0000 0.0000 x1  4 Re 2.16
W 0.5000 0.5000 0.5000 x1  4 Sb 3.06, 8 Re 3.26


8.
The following is a GGA-PBEsol calculation of a relaxed As2IrPd crystal, from Alexandria via LeMat-Bulk.

E   -6.5041 eV per atom
Spin magnetization   0.00 μB/f.u.

Unit cell a=6.2477 b=6.2477 c=6.2477 alpha=90.00 beta=90.00 gamma=90.00
Last column: nearest neighbours and their distance in Å.
Space group Fm-3m (No. 225)
Symmetry-distinct sites (fractional):
As 0.2500 0.2500 0.2500 x8  4 Pd 2.71, 4 Ir 2.71
Ir 0.0000 0.0000 0.0000 x4  8 As 2.71
Pd 0.0000 0.0000 0.5000 x4  8 As 2.71


| no. | volume (A^3/atom) |
| --- | --- |
| 1 | 20.3 |
| 2 | 8.7 |
| 3 | 33.1 |
| 4 | 7.9 |
| 5 | 12.3 |
| 6 | 16.3 |
| 7 | 18.2 |
| 8 | 15.2 |